A:
Entry from the Alexandria database: a relaxed structure of SrVF2 (GGA+U).

As for the calculated volume: 241.5 Å³/cell. As for the crystal system: trigonal. The spin magnetization is 8.9 μB/cell.

It has space group R-3m (No. 166, hexagonal axes), with a = 3.7647 Å, b = 3.7647 Å, c = 19.6787 Å, α = 90.00°, β = 90.00° and γ = 120.00°. The asymmetric unit holds Sr at (0.0000, 0.0000, 0.0000), V at (0.0000, 0.0000, 0.5000) and F at (0.0000, 0.0000, 0.1264).

B:
Entry from the Alexandria database: a relaxed structure of SrVF2 (GGA+U).

As for the calculated volume: 350.2 Å³/cell. As for the crystal system: tetragonal. The spin magnetization is 17.8 μB/cell.

It has space group I-42d (No. 122), with a = 5.671 Å, b = 5.671 Å, c = 10.890 Å, α = 90.00°, β = 90.00° and γ = 90.00°. The asymmetric unit holds Sr at (0.000, 0.000, 0.000), V at (0.000, 0.000, 0.500) and F at (0.243, 0.250, 0.125).

Relative calculated energies, zero for the most stable structure, unit meV/atom: A 8; B 0.

A:
Entry from the Alexandria database: a relaxed structure of SrV3F (GGA+U).

As for the calculated volume: 229.1 Å³/cell. As for the crystal system: cubic. The spin magnetization is 14.0 μB/cell.

It has space group Pm-3m (No. 221), with a = 6.119 Å, b = 6.119 Å, c = 6.119 Å, α = 90.00°, β = 90.00° and γ = 90.00°. The asymmetric unit holds Sr at (0.000, 0.000, 0.000), V at (0.000, 0.000, 0.500) and F at (0.500, 0.500, 0.500).

B:
Entry from the Alexandria database: a relaxed structure of SrV3F (GGA+U).

As for the calculated volume: 112.2 Å³/cell. As for the crystal system: cubic. The spin magnetization is 9.7 μB/cell.

It has space group Pm-3m (No. 221), with a = 4.823 Å, b = 4.823 Å, c = 4.823 Å, α = 90.00°, β = 90.00° and γ = 90.00°. The asymmetric unit holds Sr at (0.000, 0.000, 0.000), V at (0.000, 0.500, 0.500) and F at (0.500, 0.500, 0.500).

Relative calculated energies, zero for the most stable structure, unit meV/atom: A 1516; B 0.

A:
Entry from the Alexandria database: a relaxed structure of SrVF3 (GGA+U).

As for the calculated volume: 104.5 Å³/cell. As for the crystal system: cubic. The spin magnetization is 4.0 μB/cell.

It has space group Pm-3m (No. 221), with a = 4.710 Å, b = 4.710 Å, c = 4.710 Å, α = 90.00°, β = 90.00° and γ = 90.00°. The asymmetric unit holds Sr at (0.000, 0.000, 0.000), V at (0.500, 0.500, 0.500) and F at (0.000, 0.000, 0.500).

B:
Entry from the Alexandria database: a relaxed structure of SrVF3 (GGA+U).

As for the calculated volume: 82.5 Å³/cell. As for the crystal system: cubic. The spin magnetization is 3.2 μB/cell.

It has space group Pm-3m (No. 221), with a = 4.353 Å, b = 4.353 Å, c = 4.353 Å, α = 90.00°, β = 90.00° and γ = 90.00°. The asymmetric unit holds Sr at (0.000, 0.000, 0.000), V at (0.500, 0.500, 0.500) and F at (0.000, 0.500, 0.500).

Relative calculated energies, zero for the most stable structure, unit meV/atom: A 402; B 0.

A:
Entry from the Alexandria database: a relaxed structure of Sr2VF (GGA+U).

As for the calculated volume: 513.0 Å³/cell. As for the crystal system: tetragonal. The spin magnetization is 17.9 μB/cell.

It has space group I-42d (No. 122), with a = 7.724 Å, b = 7.724 Å, c = 8.599 Å, α = 90.00°, β = 90.00° and γ = 90.00°. The asymmetric unit holds Sr at (0.147, 0.250, 0.125), V at (0.000, 0.000, 0.500) and F at (0.000, 0.000, 0.000).

B:
Entry from the Alexandria database: a relaxed structure of Sr2VF (GGA+U).

As for the calculated volume: 471.2 Å³/cell. As for the crystal system: cubic. The spin magnetization is 23.7 μB/cell.

It has space group Fm-3m (No. 225), with a = 7.782 Å, b = 7.782 Å, c = 7.782 Å, α = 90.00°, β = 90.00° and γ = 90.00°. The asymmetric unit holds Sr at (0.250, 0.250, 0.250), V at (0.000, 0.000, 0.000) and F at (0.000, 0.000, 0.500).

Relative calculated energies, zero for the most stable structure, unit meV/atom: A 0; B 544.

A:
Entry from the Alexandria database: a relaxed structure of SrW2F (GGA+U).

As for the calculated volume: 506.5 Å³/cell. As for the crystal system: tetragonal. The spin magnetization is 30.1 μB/cell.

It has space group I4_1/amd (No. 141, origin choice 2), with a = 6.261 Å, b = 6.261 Å, c = 12.921 Å, α = 90.00°, β = 90.00° and γ = 90.00°. The asymmetric unit holds Sr at (0.000, 0.250, 0.375), W at (0.000, 0.000, 0.000) and F at (0.000, 0.250, 0.875).

B:
Entry from the Alexandria database: a relaxed structure of SrW2F (GGA+U).

As for the calculated volume: 419.4 Å³/cell. As for the crystal system: cubic. The spin magnetization is 37.3 μB/cell.

It has space group Fm-3m (No. 225), with a = 7.485 Å, b = 7.485 Å, c = 7.485 Å, α = 90.00°, β = 90.00° and γ = 90.00°. The asymmetric unit holds Sr at (0.000, 0.000, 0.000), W at (0.250, 0.250, 0.250) and F at (0.000, 0.000, 0.500).

Relative calculated energies, zero for the most stable structure, unit meV/atom: A 0; B 479.

A:
Entry from the Alexandria database: a relaxed structure of SrWF3 (GGA+U).

As for the calculated volume: 104.8 Å³/cell. As for the crystal system: cubic. The spin magnetization is 5.0 μB/cell.

It has space group Pm-3m (No. 221), with a = 4.715 Å, b = 4.715 Å, c = 4.715 Å, α = 90.00°, β = 90.00° and γ = 90.00°. The asymmetric unit holds Sr at (0.000, 0.000, 0.000), W at (0.500, 0.500, 0.500) and F at (0.000, 0.000, 0.500).

B:
Entry from the Alexandria database: a relaxed structure of SrWF3 (GGA+U).

As for the calculated volume: 97.1 Å³/cell. As for the crystal system: cubic. The spin magnetization is 3.9 μB/cell.

It has space group Pm-3m (No. 221), with a = 4.596 Å, b = 4.596 Å, c = 4.596 Å, α = 90.00°, β = 90.00° and γ = 90.00°. The asymmetric unit holds Sr at (0.000, 0.000, 0.000), W at (0.500, 0.500, 0.500) and F at (0.000, 0.500, 0.500).

Relative calculated energies, zero for the most stable structure, unit meV/atom: A 15; B 0.